Below is crystalline Ce4ScIn at its relaxed geometry, with properties calculated at the GGA-PBE level.

Summary:
formation enthalpy at 0 K = -111.0 meV/atom
SG = Pmmm (47)
crystal system = orthorhombic
mass density = 7.83 g/cm³

Structure (CIF):
```
data_Ce4ScIn
_chemical_formula_sum 'Ce4 Sc1 In1'
_space_group_name_H-M_alt 'P 1'
_space_group_IT_number 1
_cell_length_a 3.127
_cell_length_b 5.240
_cell_length_c 9.326
_cell_angle_alpha 90.00
_cell_angle_beta 90.00
_cell_angle_gamma 90.00
loop_
_space_group_symop_operation_xyz
'x,y,z'
loop_
_atom_site_label
_atom_site_fract_x
_atom_site_fract_y
_atom_site_fract_z
Ce1 0.000 0.000 0.174
Ce2 0.000 0.000 0.826
Ce3 0.000 0.500 0.322
Ce4 0.000 0.500 0.678
Sc1 0.500 0.000 0.500
In1 0.500 0.500 0.000
```

---

Below is crystalline ZrTa2Be6 at its relaxed geometry, with properties calculated at the GGA-PBE level.

Summary:
formation enthalpy at 0 K = -181.0 meV/atom
SG = P6/mmm (191)
crystal system = hexagonal
mass density = 7.71 g/cm³

Structure (CIF):
```
data_ZrTa2Be6
_chemical_formula_sum 'Zr1 Ta2 Be6'
_space_group_name_H-M_alt 'P 1'
_space_group_IT_number 1
_cell_length_a 6.421
_cell_length_b 6.421
_cell_length_c 3.058
_cell_angle_alpha 90.00
_cell_angle_beta 90.00
_cell_angle_gamma 120.00
loop_
_space_group_symop_operation_xyz
'x,y,z'
loop_
_atom_site_label
_atom_site_fract_x
_atom_site_fract_y
_atom_site_fract_z
Zr1 0.000 0.000 0.000
Ta1 0.333 0.667 0.000
Ta2 0.667 0.333 0.000
Be1 0.000 0.338 0.500
Be2 0.000 0.662 0.500
Be3 0.338 0.000 0.500
Be4 0.338 0.338 0.500
Be5 0.662 0.000 0.500
Be6 0.662 0.662 0.500
```

---

Below is crystalline Sm2DySn9 at its relaxed geometry, with properties calculated at the GGA-PBE level.

Summary:
formation enthalpy at 0 K = -457.4 meV/atom
SG = P4/mmm (123)
crystal system = tetragonal
mass density = 7.96 g/cm³

Structure (CIF):
```
data_Sm2DySn9
_chemical_formula_sum 'Sm2 Dy1 Sn9'
_space_group_name_H-M_alt 'P 1'
_space_group_IT_number 1
_cell_length_a 4.710
_cell_length_b 4.710
_cell_length_c 14.396
_cell_angle_alpha 90.00
_cell_angle_beta 90.00
_cell_angle_gamma 90.00
loop_
_space_group_symop_operation_xyz
'x,y,z'
loop_
_atom_site_label
_atom_site_fract_x
_atom_site_fract_y
_atom_site_fract_z
Sm1 0.000 0.000 0.167
Sm2 0.000 0.000 0.833
Dy1 0.000 0.000 0.500
Sn1 0.000 0.500 0.000
Sn2 0.000 0.500 0.336
Sn3 0.000 0.500 0.664
Sn4 0.500 0.000 0.000
Sn5 0.500 0.000 0.336
Sn6 0.500 0.000 0.664
Sn7 0.500 0.500 0.168
Sn8 0.500 0.500 0.500
Sn9 0.500 0.500 0.832
```

---

Below is crystalline CaYSc at its relaxed geometry, with properties calculated at the GGA-PBE level.

Summary:
formation enthalpy at 0 K = 75.8 meV/atom
SG = C2/m (12)
crystal system = monoclinic
mass density = 2.98 g/cm³

Structure (CIF):
```
data_CaYSc
_chemical_formula_sum 'Ca4 Y4 Sc4'
_space_group_name_H-M_alt 'P 1'
_space_group_IT_number 1
_cell_length_a 12.256
_cell_length_b 3.669
_cell_length_c 9.193
_cell_angle_alpha 90.00
_cell_angle_beta 110.47
_cell_angle_gamma 90.00
loop_
_space_group_symop_operation_xyz
'x,y,z'
loop_
_atom_site_label
_atom_site_fract_x
_atom_site_fract_y
_atom_site_fract_z
Ca1 0.156 0.000 0.081
Ca2 0.344 0.500 0.919
Ca3 0.656 0.500 0.081
Ca4 0.844 0.000 0.919
Y1 0.000 0.500 0.312
Y2 0.000 0.500 0.688
Y3 0.500 0.000 0.312
Y4 0.500 0.000 0.688
Sc1 0.194 0.000 0.590
Sc2 0.306 0.500 0.410
Sc3 0.694 0.500 0.590
Sc4 0.806 0.000 0.410
```

---

Below is crystalline Cd2OsSe at its relaxed geometry, with properties calculated at the GGA-PBE level.

Summary:
SG = I-4m2 (119)
total DFT energy (no corrections) = -27.8 eV for the cell shown
crystal system = tetragonal
mass density = 10.98 g/cm³

Structure (CIF):
```
data_Cd2OsSe
_chemical_formula_sum 'Cd4 Os2 Se2'
_space_group_name_H-M_alt 'P 1'
_space_group_IT_number 1
_cell_length_a 4.223
_cell_length_b 4.223
_cell_length_c 8.383
_cell_angle_alpha 90.00
_cell_angle_beta 90.00
_cell_angle_gamma 90.00
loop_
_space_group_symop_operation_xyz
'x,y,z'
loop_
_atom_site_label
_atom_site_fract_x
_atom_site_fract_y
_atom_site_fract_z
Cd1 0.000 0.000 0.000
Cd2 0.000 0.500 0.250
Cd3 0.500 0.000 0.750
Cd4 0.500 0.500 0.500
Os1 0.000 0.500 0.750
Os2 0.500 0.000 0.250
Se1 0.000 0.000 0.500
Se2 0.500 0.500 0.000
```

---

Below is crystalline Ce8SiGe6 at its relaxed geometry, with properties calculated at the GGA-PBE level.

Summary:
SG = R-3 (148)
total DFT energy (no corrections) = -89.0 eV for the cell shown
crystal system = trigonal
mass density = 6.46 g/cm³

Structure (CIF):
```
data_Ce8SiGe6
_chemical_formula_sum 'Ce8 Si1 Ge6'
_space_group_name_H-M_alt 'P 1'
_space_group_IT_number 1
_cell_length_a 7.840
_cell_length_b 7.840
_cell_length_c 7.840
_cell_angle_alpha 69.40
_cell_angle_beta 69.40
_cell_angle_gamma 69.40
loop_
_space_group_symop_operation_xyz
'x,y,z'
loop_
_atom_site_label
_atom_site_fract_x
_atom_site_fract_y
_atom_site_fract_z
Ce1 0.147 0.397 0.680
Ce2 0.161 0.161 0.161
Ce3 0.320 0.853 0.603
Ce4 0.397 0.680 0.147
Ce5 0.603 0.320 0.853
Ce6 0.680 0.147 0.397
Ce7 0.839 0.839 0.839
Ce8 0.853 0.603 0.320
Si1 0.500 0.500 0.500
Ge1 0.044 0.798 0.438
Ge2 0.202 0.562 0.956
Ge3 0.438 0.044 0.798
Ge4 0.562 0.956 0.202
Ge5 0.798 0.438 0.044
Ge6 0.956 0.202 0.562
```

---

Below is crystalline KRb2O6 at its relaxed geometry, with properties calculated at the GGA-PBE level.

Summary:
SG = Immm (71)
total DFT energy (no corrections) = -40.0 eV for the cell shown
crystal system = orthorhombic
mass density = 3.02 g/cm³

Structure (CIF):
```
data_KRb2O6
_chemical_formula_sum 'K1 Rb2 O6'
_space_group_name_H-M_alt 'P 1'
_space_group_IT_number 1
_cell_length_a 8.269
_cell_length_b 8.269
_cell_length_c 8.269
_cell_angle_alpha 154.22
_cell_angle_beta 136.52
_cell_angle_gamma 51.24
loop_
_space_group_symop_operation_xyz
'x,y,z'
loop_
_atom_site_label
_atom_site_fract_x
_atom_site_fract_y
_atom_site_fract_z
K1 0.000 0.000 0.000
Rb1 0.346 0.846 0.500
Rb2 0.654 0.154 0.500
O1 0.043 0.654 0.389
O2 0.264 0.654 0.611
O3 0.389 0.500 0.889
O4 0.611 0.500 0.111
O5 0.736 0.346 0.389
O6 0.957 0.346 0.611
```

---

Below is crystalline ScAg2SbPb at its relaxed geometry, with properties calculated at the GGA-PBE level.

Summary:
SG = P4/mmm (123)
total DFT energy (no corrections) = -17.0 eV for the cell shown
crystal system = tetragonal
mass density = 6.14 g/cm³

Structure (CIF):
```
data_ScAg2SbPb
_chemical_formula_sum 'Sc1 Ag2 Sb1 Pb1'
_space_group_name_H-M_alt 'P 1'
_space_group_IT_number 1
_cell_length_a 5.039
_cell_length_b 5.039
_cell_length_c 6.279
_cell_angle_alpha 90.00
_cell_angle_beta 90.00
_cell_angle_gamma 90.00
loop_
_space_group_symop_operation_xyz
'x,y,z'
loop_
_atom_site_label
_atom_site_fract_x
_atom_site_fract_y
_atom_site_fract_z
Sc1 0.000 0.000 0.000
Ag1 0.000 0.500 0.500
Ag2 0.500 0.000 0.500
Sb1 0.500 0.500 0.500
Pb1 0.500 0.500 0.000
```

---

Below is crystalline Ho4ScAg at its relaxed geometry, with properties calculated at the GGA-PBE level.

Summary:
formation enthalpy at 0 K = 68.2 meV/atom
SG = Cmc2_1 (36)
crystal system = orthorhombic
mass density = 7.87 g/cm³

Structure (CIF):
```
data_Ho4ScAg
_chemical_formula_sum 'Ho8 Sc2 Ag2'
_space_group_name_H-M_alt 'P 1'
_space_group_IT_number 1
_cell_length_a 10.768
_cell_length_b 10.768
_cell_length_c 6.274
_cell_angle_alpha 90.00
_cell_angle_beta 90.00
_cell_angle_gamma 151.88
loop_
_space_group_symop_operation_xyz
'x,y,z'
loop_
_atom_site_label
_atom_site_fract_x
_atom_site_fract_y
_atom_site_fract_z
Ho1 0.034 0.966 0.500
Ho2 0.173 0.827 0.317
Ho3 0.241 0.759 0.801
Ho4 0.431 0.569 0.659
Ho5 0.569 0.431 0.159
Ho6 0.759 0.241 0.301
Ho7 0.827 0.173 0.817
Ho8 0.966 0.034 0.000
Sc1 0.365 0.635 0.153
Sc2 0.635 0.365 0.653
Ag1 0.104 0.896 0.901
Ag2 0.896 0.104 0.401
```

---

Number 1: M_tot 0.068 μB per cell. Number 2: M_tot 0.000 μB per cell. Number 3: M_tot 0.000 μB per cell. Number 4: M_tot 0.000 μB per cell. Number 5: M_tot 0.000 μB per cell. Number 6: M_tot 3.674 μB per cell. Number 7: M_tot 3.001 μB per cell. Number 8: M_tot 0.000 μB per cell. Number 9: M_tot 0.000 μB per cell.